The following is a GGA-PBE calculation of a relaxed structure of U2SiRh, from the Alexandria database.

Cell: 2.880 4.957 4.989 Å, 90.00 90.21 90.00°
Space group P2/m (No. 10)
Inequivalent atoms, fractional coordinates:
U1 0.229 0.000 0.261
Si1 0.000 0.500 0.500
Rh1 0.500 0.500 0.000

Results
- VASP energy: -9.003 eV per atom
- Formation energy from raw total energies: -0.7 eV per formula unit
- ρ: 14.15 g/cm³